An optimized crystal structure of NaCeAsAu. Source: the Alexandria database, functional PBE.

extended XYZ file:
```
4
Lattice="0.0000 3.5950 3.5950 3.5950 0.0000 3.5950 3.5950 3.5950 0.0000" Properties=species:S:1:pos:R:3 pbc="T T T"
Na 0.0000 0.0000 0.0000
Ce 3.5950 3.5950 3.5950
As 5.3924 5.3924 5.3924
Au 1.7975 1.7975 1.7975
```

## Properties
Its total DFT energy (no corrections) is -0.33111 Ry per atom. The total magnetization is 1.02 μB/f.u. The symmetry is F-43m (216). As for the density: 7.77 g/cm³. The crystal system is cubic.